Entry 1:
Entry from Alexandria: a relaxed structure of CaLa2MgS (PBE).

The structure in POSCAR format:
```
CaLa2MgS
1.0
5.6027 0.0000 0.0000
0.0000 5.6027 0.0000
0.0000 0.0000 5.3572
Ca La Mg S
1 2 1 1
Direct
0.0000 0.0000 0.0000
0.0000 0.5000 0.5000
0.5000 0.0000 0.5000
0.5000 0.5000 0.0000
0.0000 0.0000 0.5000
```

Output
The space group is P4/mmm. The value obtained for the theoretical density is 3.696 g/cm3. Its uncorrected formation energy is -0.727 eV per atom.

---

Entry 2:
Entry from Alexandria: a relaxed structure of TlSb2Os (PBE).

The structure in POSCAR format:
```
TlSb2Os
1.0
-1.6248 1.6393 9.4802
1.6248 -1.6393 9.4802
1.6248 1.6393 -9.4802
Tl Sb Os
1 2 1
Direct
0.0000 0.0000 0.0000
0.3506 0.3506 0.0000
0.6607 0.1607 0.5000
0.2374 0.7374 0.5000
```

Output
The space group is Imm2. The energy above the most stable polymorph in this dataset is 30 meV/atom. The value obtained for the theoretical density is 10.491 g/cm3. Its uncorrected formation energy is 0.243 eV per atom.

---

Entry 3:
Entry from Alexandria: a relaxed structure of Tb2Pr4Hg3O2 (PBE).

The structure in POSCAR format:
```
Tb2Pr4Hg3O2
1.0
-2.4689 2.4689 12.0153
2.4689 -2.4689 12.0153
2.4689 2.4689 -12.0153
Tb Pr Hg O
2 4 3 2
Direct
0.2015 0.2015 0.0000
0.7985 0.7985 0.0000
0.0869 0.5869 0.5000
0.4131 0.9131 0.5000
0.5869 0.0869 0.5000
0.9131 0.4131 0.5000
0.3261 0.3261 0.0000
0.5000 0.5000 0.0000
0.6739 0.6739 0.0000
0.1089 0.1089 0.0000
0.8911 0.8911 0.0000
```

Output
The space group is I4/mmm. The value obtained for the theoretical density is 8.589 g/cm3. Its uncorrected formation energy is -1.197 eV per atom.

---

Entry 4:
Entry from Alexandria: a relaxed structure of NaTlCd10 (PBE).

The structure in POSCAR format:
```
NaTlCd10
1.0
4.8805 0.0000 0.0000
0.0000 6.0843 0.0000
0.0000 0.0000 10.3425
Na Tl Cd
1 1 10
Direct
0.0000 0.0000 0.0000
0.0000 0.5000 0.5000
0.0000 0.0000 0.3311
0.0000 0.0000 0.6689
0.0000 0.5000 0.1656
0.0000 0.5000 0.8344
0.5000 0.0000 0.5000
0.5000 0.2467 0.2469
0.5000 0.2467 0.7531
0.5000 0.5000 0.0000
0.5000 0.7533 0.2469
0.5000 0.7533 0.7531
```

Output
The space group is Pmmm. As for the formation enthalpy at 0 K: 0.01 eV/atom. The value obtained for the theoretical density is 7.307 g/cm3.